1.
YZrSb2 | GGA-PBEsol | optimized geometry Values from VASP.

Computed properties:
**Density of states at the Fermi level**: 4.85 states/eV/f.u.
**ΔE_f (raw)**: -0.654 eV per atom
**Size of the total moment**: 0.0 μB per cell

Cell and atoms, written as Quantum ESPRESSO input:
```
&SYSTEM
  ibrav = 0, nat = 4, ntyp = 3
/
ATOMIC_SPECIES
Sb 121.76 Sb.upf
Y 88.91 Y.upf
Zr 91.22 Zr.upf
ATOMIC_POSITIONS crystal
Sb 0.0000 0.0000 0.5000
Sb 0.0000 0.5000 0.0000
Y 0.5000 0.5000 0.5000
Zr 0.5000 0.0000 0.0000
CELL_PARAMETERS angstrom
3.7863 0.0000 0.0000
0.0000 5.0102 0.0000
0.0000 0.0000 5.0102
```

---

2.
YZrSb | GGA-PBEsol | optimized geometry Values from VASP.

Computed properties:
**Density of states at the Fermi level**: 4.05 states/eV/f.u.
**ΔE_f (raw)**: -0.371 eV per atom
**Size of the total moment**: 0.0 μB per cell

Cell and atoms, written as Quantum ESPRESSO input:
```
&SYSTEM
  ibrav = 0, nat = 3, ntyp = 3
/
ATOMIC_SPECIES
Sb 121.76 Sb.upf
Y 88.91 Y.upf
Zr 91.22 Zr.upf
ATOMIC_POSITIONS crystal
Sb 0.7500 0.7500 0.7500
Y 0.0000 0.0000 0.0000
Zr 0.5000 0.5000 0.5000
CELL_PARAMETERS angstrom
-0.3663 4.8399 -0.0892
-0.6472 2.3078 -4.2215
-4.2659 2.0934 -0.9928
```

---

3.
YZr4Sb | GGA-PBEsol | optimized geometry Values from VASP.

Computed properties:
**Density of states at the Fermi level**: 9.42 states/eV/f.u.
**ΔE_f (raw)**: 0.090 eV per atom
**Size of the total moment**: 0.0 μB per cell

Cell and atoms, written as Quantum ESPRESSO input:
```
&SYSTEM
  ibrav = 0, nat = 6, ntyp = 3
/
ATOMIC_SPECIES
Sb 121.76 Sb.upf
Y 88.91 Y.upf
Zr 91.22 Zr.upf
ATOMIC_POSITIONS crystal
Sb 0.7500 0.7500 0.7500
Y 0.0000 0.0000 0.0000
Zr 0.3719 0.3719 0.3719
Zr 0.3719 0.3719 0.8842
Zr 0.8842 0.3719 0.3719
Zr 0.3719 0.8842 0.3719
CELL_PARAMETERS angstrom
-4.8690 -2.6982 1.7481
-3.4579 -2.6036 -3.9126
-0.3343 -5.8223 -0.1807
```

---

4.
YZrSb2 | GGA-PBEsol | optimized geometry Values from VASP.

Computed properties:
**Density of states at the Fermi level**: 2.83 states/eV/f.u.
**ΔE_f (raw)**: -0.757 eV per atom
**Size of the total moment**: 0.0 μB per cell

Cell and atoms, written as Quantum ESPRESSO input:
```
&SYSTEM
  ibrav = 0, nat = 4, ntyp = 3
/
ATOMIC_SPECIES
Sb 121.76 Sb.upf
Y 88.91 Y.upf
Zr 91.22 Zr.upf
ATOMIC_POSITIONS crystal
Sb 0.0239 0.5000 0.0477
Sb 0.2280 0.0000 0.4560
Y 0.5000 0.0000 0.9999
Zr 0.7482 0.5000 0.4963
CELL_PARAMETERS angstrom
-1.6161 2.8623 1.9919
1.8869 -1.7572 4.0560
5.1943 1.5628 -1.7393
```

---

5.
YZrSb | GGA-PBEsol | optimized geometry Values from VASP.

Computed properties:
**Density of states at the Fermi level**: 2.85 states/eV/f.u.
**ΔE_f (raw)**: -0.886 eV per atom
**Size of the total moment**: 0.0 μB per cell

Cell and atoms, written as Quantum ESPRESSO input:
```
&SYSTEM
  ibrav = 0, nat = 6, ntyp = 3
/
ATOMIC_SPECIES
Y 88.91 Y.upf
Sb 121.76 Sb.upf
Zr 91.22 Zr.upf
ATOMIC_POSITIONS crystal
Y 0.6772 0.6772 0.3544
Y 0.3228 0.3228 0.6456
Sb 0.8669 0.8669 0.7338
Sb 0.1331 0.1331 0.2662
Zr 0.5000 0.0000 0.0000
Zr 0.0000 0.5000 0.0000
CELL_PARAMETERS angstrom
4.2121 0.0000 0.0000
0.0000 4.2121 0.0000
-2.1061 -2.1061 8.2319
```

---

6.
YZrSb2 | GGA-PBEsol | optimized geometry Values from VASP.

Computed properties:
**Density of states at the Fermi level**: 2.07 states/eV/f.u.
**ΔE_f (raw)**: -0.907 eV per atom
**Size of the total moment**: 0.0 μB per cell

Cell and atoms, written as Quantum ESPRESSO input:
```
&SYSTEM
  ibrav = 0, nat = 4, ntyp = 3
/
ATOMIC_SPECIES
Y 88.91 Y.upf
Sb 121.76 Sb.upf
Zr 91.22 Zr.upf
ATOMIC_POSITIONS crystal
Y 0.0000 0.0000 0.0000
Sb 0.7544 0.7544 0.7368
Sb 0.2456 0.2456 0.2632
Zr 0.5000 0.5000 0.5000
CELL_PARAMETERS angstrom
4.1725 0.0000 0.0000
2.0862 3.6135 0.0000
2.0862 1.2045 6.9240
```

---

7.
Zn3Sb | GGA-PBEsol | optimized geometry Values from VASP.

Computed properties:
**Density of states at the Fermi level**: 1.65 states/eV/f.u.
**ΔE_f (raw)**: 0.183 eV per atom
**Size of the total moment**: 0.0 μB per cell

Cell and atoms, written as Quantum ESPRESSO input:
```
&SYSTEM
  ibrav = 0, nat = 4, ntyp = 2
/
ATOMIC_SPECIES
Sb 121.76 Sb.upf
Zn 65.41 Zn.upf
ATOMIC_POSITIONS crystal
Sb 0.0000 0.0000 0.0000
Zn 0.7619 0.2619 0.5238
Zn 0.5000 0.5000 0.0000
Zn 0.2381 0.7381 0.4762
CELL_PARAMETERS angstrom
-2.4549 -2.7399 1.4159
2.7465 -0.6132 3.5753
-2.1389 4.5041 -0.4796
```

---

8.
Zn2Sb | GGA-PBEsol | optimized geometry Values from VASP.

Computed properties:
**Density of states at the Fermi level**: 1.30 states/eV/f.u.
**ΔE_f (raw)**: 0.156 eV per atom
**Size of the total moment**: 0.0 μB per cell

Cell and atoms, written as Quantum ESPRESSO input:
```
&SYSTEM
  ibrav = 0, nat = 3, ntyp = 2
/
ATOMIC_SPECIES
Sb 121.76 Sb.upf
Zn 65.41 Zn.upf
ATOMIC_POSITIONS crystal
Sb 0.0000 0.0000 0.0000
Zn 0.6267 0.6667 0.3333
Zn 0.3733 0.3333 0.6667
CELL_PARAMETERS angstrom
-2.7998 -2.8568 0.5512
2.9426 -2.8606 0.1206
-1.2071 1.8506 3.4605
```

---

9.
Zn2Sb | GGA-PBEsol | optimized geometry Values from VASP.

Computed properties:
**Density of states at the Fermi level**: 1.00 states/eV/f.u.
**ΔE_f (raw)**: 0.160 eV per atom
**Size of the total moment**: 0.0 μB per cell

Cell and atoms, written as Quantum ESPRESSO input:
```
&SYSTEM
  ibrav = 0, nat = 6, ntyp = 2
/
ATOMIC_SPECIES
Sb 121.76 Sb.upf
Zn 65.41 Zn.upf
ATOMIC_POSITIONS crystal
Sb 0.8181 0.7500 0.6361
Sb 0.1819 0.2500 0.3639
Zn 0.1357 0.7500 0.2715
Zn 0.4876 0.7500 0.9751
Zn 0.5124 0.2500 0.0249
Zn 0.8643 0.2500 0.7285
CELL_PARAMETERS angstrom
3.1971 0.0000 0.0000
0.0000 5.4524 0.0000
-1.5985 0.0000 6.7789
```

---

10.
Zn6Sb5 | GGA-PBEsol | optimized geometry Values from VASP.

Computed properties:
**Density of states at the Fermi level**: 4.99 states/eV/f.u.
**ΔE_f (raw)**: 0.029 eV per atom
**Size of the total moment**: 0.0 μB per cell

Cell and atoms, written as Quantum ESPRESSO input:
```
&SYSTEM
  ibrav = 0, nat = 22, ntyp = 2
/
ATOMIC_SPECIES
Zn 65.41 Zn.upf
Sb 121.76 Sb.upf
ATOMIC_POSITIONS crystal
Zn 0.9355 0.3430 0.0171
Zn 0.0171 0.9355 0.3430
Zn 0.3430 0.0171 0.9355
Zn 0.4355 0.5171 0.8430
Zn 0.8430 0.4355 0.5171
Zn 0.5171 0.8430 0.4355
Zn 0.0645 0.6570 0.9829
Zn 0.9829 0.0645 0.6570
Zn 0.6570 0.9829 0.0645
Zn 0.5645 0.4829 0.1570
Zn 0.1570 0.5645 0.4829
Zn 0.4829 0.1570 0.5645
Sb 0.6085 0.2500 0.8915
Sb 0.8915 0.6085 0.2500
Sb 0.2500 0.8915 0.6085
Sb 0.1085 0.3915 0.7500
Sb 0.7500 0.1085 0.3915
Sb 0.3915 0.7500 0.1085
Sb 0.3657 0.3657 0.3657
Sb 0.8657 0.8657 0.8657
Sb 0.6343 0.6343 0.6343
Sb 0.1343 0.1343 0.1343
CELL_PARAMETERS angstrom
8.0545 -0.0134 -0.0154
-0.9607 7.9970 -0.0154
-0.9607 -1.0812 7.9236
```

---

11.
Zn3Sb | GGA-PBEsol | optimized geometry Values from VASP.

Computed properties:
**Density of states at the Fermi level**: 1.26 states/eV/f.u.
**ΔE_f (raw)**: 0.208 eV per atom
**Size of the total moment**: 0.0 μB per cell

Cell and atoms, written as Quantum ESPRESSO input:
```
&SYSTEM
  ibrav = 0, nat = 4, ntyp = 2
/
ATOMIC_SPECIES
Sb 121.76 Sb.upf
Zn 65.41 Zn.upf
ATOMIC_POSITIONS crystal
Sb 0.0000 0.0000 0.0000
Zn 0.5000 0.0000 0.5000
Zn 0.5000 0.5000 0.0000
Zn 0.0000 0.5000 0.5000
CELL_PARAMETERS angstrom
3.2672 0.0000 0.0000
0.0000 4.9191 -0.0245
0.0000 -1.8759 4.5474
```

---

12.
Zn2Sb | GGA-PBEsol | optimized geometry Values from VASP.

Computed properties:
**Density of states at the Fermi level**: 1.22 states/eV/f.u.
**ΔE_f (raw)**: 0.202 eV per atom
**Size of the total moment**: 0.0 μB per cell

Cell and atoms, written as Quantum ESPRESSO input:
```
&SYSTEM
  ibrav = 0, nat = 3, ntyp = 2
/
ATOMIC_SPECIES
Sb 121.76 Sb.upf
Zn 65.41 Zn.upf
ATOMIC_POSITIONS crystal
Sb 0.0000 0.0000 0.0000
Zn 0.6874 0.6874 0.3747
Zn 0.3126 0.3126 0.6253
CELL_PARAMETERS angstrom
3.0982 0.0000 0.0000
0.0000 3.0982 0.0000
-1.5491 -1.5491 5.9547
```

---

Question: Which of these has the lowest ΔE_f (raw)?
Answer: number 6